Below is LiTb2Hg6 after structural relaxation, with properties calculated at the PBE level.

The structure belongs to space group Cmmm (No. 65); the cell edges are 7.395, 13.568 and 4.343 Å and the angles 90.00°, 90.00° and 90.00°. The distinct sites, in fractional coordinates, are Li at (0.000, 0.000, 0.000), Tb at (0.000, 0.214, 0.500), Hg at (0.199, 0.358, 0.000) and Hg at (0.233, 0.000, 0.500).

Its total magnetization is 0.000 μB per formula unit. For the energy, the calculation gives -1.739 eV/atom. Its formation enthalpy at 0 K is -297 meV/atom.

***

Below is LiTb2Hg3 after structural relaxation, with properties calculated at the PBE level.

The structure belongs to space group P4/mmm (No. 123); the cell edges are 3.641, 3.641 and 10.835 Å and the angles 90.00°, 90.00° and 90.00°. The distinct sites, in fractional coordinates, are Li at (0.000, 0.000, 0.000), Tb at (0.000, 0.000, 0.324), Hg at (0.500, 0.500, 0.147) and Hg at (0.500, 0.500, 0.500).

Its total magnetization is 0.000 μB per formula unit. For the energy, the calculation gives -2.433 eV/atom. Its formation enthalpy at 0 K is -420 meV/atom.

***

Below is LiTb2Hg6 after structural relaxation, with properties calculated at the PBE level.

The structure belongs to space group P4_2/mnm (No. 136); the cell edges are 9.201, 9.201 and 4.982 Å and the angles 90.00°, 90.00° and 90.00°. The distinct sites, in fractional coordinates, are Li at (0.000, 0.000, 0.000), Tb at (0.207, 0.207, 0.500), Hg at (0.040, 0.331, 0.000) and Hg at (0.126, 0.874, 0.500).

Its total magnetization is 0.000 μB per formula unit. For the energy, the calculation gives -1.802 eV/atom. Its formation enthalpy at 0 K is -359 meV/atom.